# 1
The following is a DFT calculation (PBE-GGA) of crystalline Nb2Pd8Au at its relaxed geometry.

Cell and atoms, written as POSCAR:
```
Nb2Pd8Au
1.0
-2.0784 3.7406 5.8987
2.0784 -3.7406 5.8987
2.0784 3.7406 -5.8987
Nb Pd Au
2 8 1
direct
0.1921 0.1921 0.0000
0.8079 0.8079 0.0000
0.0673 0.3422 0.7251
0.1925 0.0000 0.1925
0.3420 0.8420 0.5000
0.3830 0.6578 0.7251
0.6170 0.3422 0.2749
0.6580 0.1580 0.5000
0.8075 0.0000 0.8075
0.9327 0.6578 0.2749
0.5000 0.5000 0.0000
```

Properties
calculated volume	183.4	Å³ per cell
DFT total energy	-67.33	eV for the cell shown
mass density	11.172	g cm⁻³
D(E_F)	0.572	states/eV/atom
energy relative to the lowest polymorph listed for this composition	67	meV per atom

# 2
The following is a DFT calculation (PBE-GGA) of crystalline DyYZnGa at its relaxed geometry.

Cell and atoms, written as POSCAR:
```
DyYZnGa
1.0
0.0000 3.5755 3.5755
3.5755 0.0000 3.5755
3.5755 3.5755 0.0000
Dy Y Zn Ga
1 1 1 1
direct
0.0000 0.0000 0.0000
0.5000 0.5000 0.5000
0.2500 0.2500 0.2500
0.7500 0.7500 0.7500
```

Properties
calculated volume	91.4	Å³ per cell
DFT total energy	-17.33	eV for the cell shown
mass density	7.021	g cm⁻³
D(E_F)	0.797	states/eV/atom

# 3
The following is a DFT calculation (PBE-GGA) of crystalline YTiFe2 at its relaxed geometry.

Cell and atoms, written as POSCAR:
```
YTiFe2
1.0
-2.2544 2.2544 7.7529
2.2544 -2.2544 7.7529
2.2544 2.2544 -7.7529
Y Ti Fe
2 2 4
direct
0.3750 0.6250 0.7500
0.6250 0.3750 0.2500
0.1250 0.8750 0.2500
0.8750 0.1250 0.7500
0.0000 0.0000 0.0000
0.0000 0.0000 0.5000
0.0000 0.5000 0.0000
0.5000 0.0000 0.5000
```

Properties
calculated volume	157.6	Å³ per cell
DFT total energy	-58.89	eV for the cell shown
mass density	5.236	g cm⁻³
D(E_F)	0.717	states/eV/atom
energy relative to the lowest polymorph listed for this composition	374	meV per atom

# 4
The following is a DFT calculation (PBE-GGA) of crystalline RbLiBeS2 at its relaxed geometry.

Cell and atoms, written as POSCAR:
```
RbLiBeS2
1.0
3.0616 -6.8059 0.0000
3.0616 6.8059 0.0000
0.0000 0.0000 5.5682
Rb Li Be S
2 2 2 4
direct
0.2500 0.7500 0.7515
0.7500 0.2500 0.2485
0.2500 0.2500 0.5000
0.7500 0.7500 0.5000
0.0000 0.0000 0.0000
0.5000 0.5000 0.0000
0.0978 0.9022 0.2433
0.4022 0.5978 0.2433
0.5978 0.4022 0.7567
0.9022 0.0978 0.7567
```

Properties
raw formation energy	-1066	meV per atom
calculated volume	232.0	Å³ per cell
DFT total energy	-40.39	eV for the cell shown
mass density	2.369	g cm⁻³
D(E_F)	0.000	states/eV/atom

# 5
The following is a DFT calculation (PBE-GGA) of crystalline ScPPtCl2 at its relaxed geometry.

Cell and atoms, written as POSCAR:
```
ScPPtCl2
1.0
4.6776 0.0000 0.0000
0.0000 4.6776 0.0000
0.0000 0.0000 5.5488
Sc P Pt Cl
1 1 1 2
direct
0.0000 0.0000 0.0000
0.0000 0.0000 0.5000
0.5000 0.5000 0.5000
0.0000 0.5000 0.0000
0.5000 0.0000 0.0000
```

Properties
raw formation energy	-127	meV per atom
calculated volume	121.4	Å³ per cell
DFT total energy	-22.11	eV for the cell shown
mass density	4.677	g cm⁻³
D(E_F)	1.041	states/eV/atom
energy relative to the lowest polymorph listed for this composition	0	meV per atom

# 6
The following is a DFT calculation (PBE-GGA) of crystalline VTe3Br at its relaxed geometry.

Cell and atoms, written as POSCAR:
```
VTe3Br
1.0
5.1949 0.0000 0.0000
0.0000 5.1949 0.0000
0.0000 0.0000 5.1949
V Te Br
1 3 1
direct
0.0000 0.0000 0.0000
0.0000 0.0000 0.5000
0.0000 0.5000 0.0000
0.5000 0.0000 0.0000
0.5000 0.5000 0.5000
```

Properties
raw formation energy	88	meV per atom
calculated volume	140.2	Å³ per cell
DFT total energy	-19.78	eV for the cell shown
mass density	6.084	g cm⁻³
D(E_F)	1.256	states/eV/atom
energy relative to the lowest polymorph listed for this composition	281	meV per atom